Record 1
# ZrMnSe2N

Crystalline ZrMnSe2N at its relaxed geometry (GGA-PBE, Alexandria).

POSCAR file:
```
ZrMnSe2N
1.0
5.328 0.000 0.000
0.000 5.328 0.000
0.000 0.000 4.052
Zr Mn Se N
1 1 2 1
Direct
0.000 0.000 0.000
0.500 0.500 0.500
0.000 0.500 0.000
0.500 0.000 0.000
0.000 0.000 0.500
```

As for the formation energy from raw total energies: 35.3 meV per atom. For the size of the total moment, the calculation gives 5.77 μB/cell. As for the total DFT energy (no corrections): -6.567 eV/atom.

Record 2
# NaBC4O8

Crystalline NaBC4O8 at its relaxed geometry (GGA-PBE, Alexandria).

POSCAR file:
```
NaBC4O8
1.0
4.198 -5.217 0.000
4.198 5.217 0.000
0.000 0.000 8.063
Na B C O
2 2 8 16
Direct
0.072 0.928 0.750
0.928 0.072 0.250
0.430 0.570 0.250
0.570 0.430 0.750
0.223 0.777 0.155
0.223 0.777 0.345
0.271 0.546 0.750
0.454 0.729 0.750
0.546 0.271 0.250
0.729 0.454 0.250
0.777 0.223 0.655
0.777 0.223 0.845
0.092 0.560 0.750
0.127 0.873 0.068
0.127 0.873 0.432
0.342 0.375 0.750
0.344 0.656 0.104
0.344 0.656 0.396
0.375 0.342 0.250
0.440 0.908 0.750
0.560 0.092 0.250
0.625 0.658 0.750
0.656 0.344 0.604
0.656 0.344 0.896
0.658 0.625 0.250
0.873 0.127 0.568
0.873 0.127 0.932
0.908 0.440 0.250
```

As for the formation energy from raw total energies: -1434.0 meV per atom. For the size of the total moment, the calculation gives 0.00 μB/cell. As for the total DFT energy (no corrections): -7.474 eV/atom.

Record 3
# Ti2CuRh

Crystalline Ti2CuRh at its relaxed geometry (GGA-PBE, Alexandria).

POSCAR file:
```
Ti2CuRh
1.0
-3.465 3.465 2.635
3.465 -3.465 2.635
3.465 3.465 -2.635
Ti Cu Rh
4 2 2
Direct
0.110 0.125 0.485
0.375 0.890 0.015
0.640 0.625 0.515
0.875 0.360 0.985
0.250 0.750 0.500
0.500 0.500 0.000
0.000 0.000 0.000
0.750 0.250 0.500
```

For the size of the total moment, the calculation gives 0.00 μB/cell. As for the total DFT energy (no corrections): -6.843 eV/atom. For the energy of formation from the pure elements, the calculation gives -0.033 eV per atom.

Record 4
# BeCrIr

Crystalline BeCrIr at its relaxed geometry (GGA-PBE, Alexandria).

POSCAR file:
```
BeCrIr
1.0
1.360 -6.952 0.000
1.360 6.952 0.000
0.000 0.000 3.596
Be Cr Ir
2 2 2
Direct
0.044 0.956 0.750
0.956 0.044 0.250
0.215 0.785 0.750
0.785 0.215 0.250
0.399 0.601 0.750
0.601 0.399 0.250
```

For the size of the total moment, the calculation gives 0.00 μB/cell. As for the total DFT energy (no corrections): -7.684 eV/atom. For the energy of formation from the pure elements, the calculation gives -0.281 eV per atom.

Record 5
# Tm3PtBr3

Crystalline Tm3PtBr3 at its relaxed geometry (GGA-PBE, Alexandria).

POSCAR file:
```
Tm3PtBr3
1.0
3.369 1.945 11.000
-3.369 1.945 11.000
0.000 -3.891 11.000
Tm Pt Br
6 2 6
Direct
0.112 0.451 0.790
0.210 0.888 0.549
0.451 0.790 0.112
0.549 0.210 0.888
0.790 0.112 0.451
0.888 0.549 0.210
0.167 0.167 0.167
0.833 0.833 0.833
0.065 0.721 0.393
0.279 0.607 0.935
0.393 0.065 0.721
0.607 0.935 0.279
0.721 0.393 0.065
0.935 0.279 0.607
```

As for the formation energy from raw total energies: -1426.7 meV per atom. For the size of the total moment, the calculation gives 0.00 μB/cell. As for the total DFT energy (no corrections): -4.923 eV/atom.

Record 6
# UFeTe

Crystalline UFeTe at its relaxed geometry (GGA-PBE, Alexandria).

POSCAR file:
```
UFeTe
1.0
3.806 0.000 0.000
0.000 4.622 0.000
-0.957 0.000 3.755
U Fe Te
1 1 1
Direct
0.000 0.000 0.000
0.546 0.000 0.560
0.564 0.500 0.287
```

As for the formation energy from raw total energies: -193.6 meV per atom. For the size of the total moment, the calculation gives 0.37 μB/cell. As for the total DFT energy (no corrections): -7.824 eV/atom.

- Look up the size of the total moment of the third one.
  0.00 μB/cell

- What is the size of the total moment in the sixth record?
  0.37 μB/cell

Copy entry 3 word for word.
# Ti2CuRh

Crystalline Ti2CuRh at its relaxed geometry (GGA-PBE, Alexandria).

POSCAR file:
```
Ti2CuRh
1.0
-3.465 3.465 2.635
3.465 -3.465 2.635
3.465 3.465 -2.635
Ti Cu Rh
4 2 2
Direct
0.110 0.125 0.485
0.375 0.890 0.015
0.640 0.625 0.515
0.875 0.360 0.985
0.250 0.750 0.500
0.500 0.500 0.000
0.000 0.000 0.000
0.750 0.250 0.500
```

For the size of the total moment, the calculation gives 0.00 μB/cell. As for the total DFT energy (no corrections): -6.843 eV/atom. For the energy of formation from the pure elements, the calculation gives -0.033 eV per atom.

What did the third record say?
# Ti2CuRh

Crystalline Ti2CuRh at its relaxed geometry (GGA-PBE, Alexandria).

POSCAR file:
```
Ti2CuRh
1.0
-3.465 3.465 2.635
3.465 -3.465 2.635
3.465 3.465 -2.635
Ti Cu Rh
4 2 2
Direct
0.110 0.125 0.485
0.375 0.890 0.015
0.640 0.625 0.515
0.875 0.360 0.985
0.250 0.750 0.500
0.500 0.500 0.000
0.000 0.000 0.000
0.750 0.250 0.500
```

For the size of the total moment, the calculation gives 0.00 μB/cell. As for the total DFT energy (no corrections): -6.843 eV/atom. For the energy of formation from the pure elements, the calculation gives -0.033 eV per atom.